No. 1
CrSb2Pd: relaxed, PBE.

magnetization	3.65	μB per formula unit
space group	I-42d
mass density	7.39	g/cm3
final energy	-5.683	eV per atom

POSCAR file:
```
CrSb2Pd
1.0
4.565 0.000 0.000
0.000 4.565 0.000
0.000 0.000 17.337
Cr Sb Pd
4 8 4
Direct
0.000 0.000 0.000
0.000 0.500 0.250
0.500 0.000 0.750
0.500 0.500 0.500
0.243 0.250 0.625
0.250 0.743 0.875
0.250 0.757 0.375
0.257 0.250 0.125
0.743 0.750 0.125
0.750 0.243 0.375
0.750 0.257 0.875
0.757 0.750 0.625
0.000 0.000 0.500
0.000 0.500 0.750
0.500 0.000 0.250
0.500 0.500 0.000
```

No. 2
Cr2SbPd8: relaxed, PBE.

magnetization	6.34	μB per formula unit
space group	Immm
mass density	10.14	g/cm3
final energy	-5.999	eV per atom

POSCAR file:
```
Cr2SbPd8
1.0
-2.117 3.506 5.943
2.117 -3.506 5.943
2.117 3.506 -5.943
Cr Sb Pd
2 1 8
Direct
0.194 0.194 0.000
0.806 0.806 0.000
0.500 0.500 0.000
0.062 0.344 0.717
0.191 0.000 0.191
0.348 0.848 0.500
0.373 0.656 0.717
0.627 0.344 0.283
0.652 0.152 0.500
0.809 0.000 0.809
0.938 0.656 0.283
```

No. 3
CrSbPd3: relaxed, PBE.

magnetization	4.66	μB per formula unit
space group	Pm-3m
mass density	6.93	g/cm3
energy relative to the lowest polymorph listed for this composition	0.000	eV/atom

POSCAR file:
```
CrSbPd3
1.0
4.907 0.000 0.000
0.000 4.907 0.000
0.000 0.000 4.907
Cr Sb Pd
1 1 3
Direct
0.000 0.000 0.000
0.500 0.500 0.500
0.000 0.500 0.500
0.500 0.000 0.500
0.500 0.500 0.000
```

No. 4
CrSb4Pd15: relaxed, PBE.

magnetization	4.10	μB per formula unit
space group	P4/mmm
mass density	10.84	g/cm3
final energy	-5.519	eV per atom

POSCAR file:
```
CrSb4Pd15
1.0
4.036 0.000 0.000
0.000 4.036 0.000
0.000 0.000 20.071
Cr Sb Pd
1 4 15
Direct
0.000 0.000 0.000
0.000 0.000 0.190
0.000 0.000 0.397
0.000 0.000 0.603
0.000 0.000 0.810
0.000 0.500 0.096
0.000 0.500 0.299
0.000 0.500 0.500
0.000 0.500 0.701
0.000 0.500 0.904
0.500 0.000 0.096
0.500 0.000 0.299
0.500 0.000 0.500
0.500 0.000 0.701
0.500 0.000 0.904
0.500 0.500 0.000
0.500 0.500 0.200
0.500 0.500 0.400
0.500 0.500 0.600
0.500 0.500 0.800
```

No. 5
CrSbPd14: relaxed, PBE.

magnetization	2.47	μB per formula unit
space group	P4/mmm
mass density	11.11	g/cm3
final energy	-5.528	eV per atom

POSCAR file:
```
CrSbPd14
1.0
5.644 0.000 0.000
0.000 5.644 0.000
0.000 0.000 7.807
Cr Sb Pd
1 1 14
Direct
0.000 0.000 0.000
0.500 0.500 0.000
0.000 0.000 0.500
0.000 0.500 0.000
0.000 0.500 0.500
0.247 0.247 0.247
0.247 0.247 0.753
0.247 0.753 0.247
0.247 0.753 0.753
0.500 0.000 0.000
0.500 0.000 0.500
0.500 0.500 0.500
0.753 0.247 0.247
0.753 0.247 0.753
0.753 0.753 0.247
0.753 0.753 0.753
```

No. 6
CrSb2Pd: relaxed, PBE.

magnetization	4.19	μB per formula unit
space group	R-3m
mass density	7.25	g/cm3
final energy	-5.467	eV per atom

POSCAR file:
```
CrSb2Pd
1.0
3.364 0.000 0.000
-1.682 2.913 0.000
0.000 0.000 28.191
Cr Sb Pd
3 6 3
Direct
0.000 0.000 0.000
0.333 0.667 0.667
0.667 0.333 0.333
0.000 0.000 0.096
0.000 0.000 0.904
0.333 0.667 0.571
0.333 0.667 0.763
0.667 0.333 0.237
0.667 0.333 0.429
0.000 0.000 0.500
0.333 0.667 0.167
0.667 0.333 0.833
```

No. 7
CrSbPd4: relaxed, PBE.

magnetization	3.45	μB per formula unit
space group	C2/m
mass density	9.94	g/cm3
final energy	-5.922	eV per atom

POSCAR file:
```
CrSbPd4
1.0
5.474 0.000 0.000
0.000 7.487 0.000
-2.493 0.000 4.884
Cr Sb Pd
2 2 8
Direct
0.000 0.000 0.000
0.500 0.500 0.000
0.000 0.500 0.500
0.500 0.000 0.500
0.249 0.311 0.244
0.249 0.689 0.244
0.251 0.189 0.756
0.251 0.811 0.756
0.749 0.189 0.244
0.749 0.811 0.244
0.751 0.311 0.756
0.751 0.689 0.756
```

No. 8
CrSb3Pd: relaxed, PBE.

magnetization	0.00	μB per formula unit
space group	Pm-3m
mass density	7.15	g/cm3
energy relative to the lowest polymorph listed for this composition	0.000	eV/atom

POSCAR file:
```
CrSb3Pd
1.0
4.954 0.000 0.000
0.000 4.954 0.000
0.000 0.000 4.954
Cr Sb Pd
1 3 1
Direct
0.000 0.000 0.000
0.000 0.000 0.500
0.000 0.500 0.000
0.500 0.000 0.000
0.500 0.500 0.500
```